[1]
# GePI2O (meta-GGA SCAN, PBEsol geometry)
data_GePI2O
_space_group_name_H-M_alt 'P 1'
_space_group_IT_number 1
_space_group_name_Hall 'P 1'
_cell_length_a 3.651
_cell_length_b 5.564
_cell_length_c 5.564
_cell_angle_alpha 90.00
_cell_angle_beta 90.00
_cell_angle_gamma 90.00
loop_
_atom_site_label
_atom_site_fract_x
_atom_site_fract_y
_atom_site_fract_z
I1 0.000 0.000 0.500
I2 0.000 0.500 0.000
P1 0.500 0.500 0.500
Ge1 0.000 0.000 0.000
O1 0.500 0.000 0.000
# Density of states at the Fermi level   2.6 states/eV/cell
# Total magnetization   0.00 μB/cell
# Calculated total energy   -21.488 eV/atom
# Mass density   5.486 Mg/m³

---

[2]
# LiTe2RhW (meta-GGA SCAN, PBEsol geometry)
data_LiTe2RhW
_space_group_name_H-M_alt 'P 1'
_space_group_IT_number 1
_space_group_name_Hall 'P 1'
_cell_length_a 4.643
_cell_length_b 5.073
_cell_length_c 5.073
_cell_angle_alpha 90.00
_cell_angle_beta 90.00
_cell_angle_gamma 90.00
loop_
_atom_site_label
_atom_site_fract_x
_atom_site_fract_y
_atom_site_fract_z
Te1 0.000 0.000 0.500
Te2 0.000 0.500 0.000
Rh1 0.500 0.500 0.500
W1 0.000 0.000 0.000
Li1 0.500 0.000 0.000
# Density of states at the Fermi level   4.6 states/eV/cell
# Total magnetization   0.01 μB/cell
# Calculated total energy   -34.882 eV/atom
# Mass density   7.627 Mg/m³

---

[3]
# NbSnOsSe2 (meta-GGA SCAN, PBEsol geometry)
data_NbSnOsSe2
_space_group_name_H-M_alt 'P 1'
_space_group_IT_number 1
_space_group_name_Hall 'P 1'
_cell_length_a 4.814
_cell_length_b 4.814
_cell_length_c 5.543
_cell_angle_alpha 90.00
_cell_angle_beta 90.00
_cell_angle_gamma 90.00
loop_
_atom_site_label
_atom_site_fract_x
_atom_site_fract_y
_atom_site_fract_z
Nb1 0.000 0.000 0.000
Os1 0.500 0.500 0.500
Sn1 0.000 0.000 0.500
Se1 0.000 0.500 0.000
Se2 0.500 0.000 0.000
# Density of states at the Fermi level   3.0 states/eV/cell
# Total magnetization   3.75 μB/cell
# Calculated total energy   -35.052 eV/atom
# Mass density   7.236 Mg/m³

---

[4]
# HOsPdF2 (meta-GGA SCAN, PBEsol geometry)
data_HOsPdF2
_space_group_name_H-M_alt 'P 1'
_space_group_IT_number 1
_space_group_name_Hall 'P 1'
_cell_length_a 3.485
_cell_length_b 4.105
_cell_length_c 4.105
_cell_angle_alpha 90.00
_cell_angle_beta 90.00
_cell_angle_gamma 90.00
loop_
_atom_site_label
_atom_site_fract_x
_atom_site_fract_y
_atom_site_fract_z
H1 0.500 0.000 0.000
Os1 0.000 0.000 0.000
Pd1 0.500 0.500 0.500
F1 0.000 0.000 0.500
F2 0.000 0.500 0.000
# Density of states at the Fermi level   3.6 states/eV/cell
# Total magnetization   1.30 μB/cell
# Calculated total energy   -22.941 eV/atom
# Mass density   9.488 Mg/m³

---

[5]
# ZnRh2Au (meta-GGA SCAN, PBEsol geometry)
data_ZnRh2Au
_space_group_name_H-M_alt 'P 1'
_space_group_IT_number 1
_space_group_name_Hall 'P 1'
_cell_length_a 2.750
_cell_length_b 2.750
_cell_length_c 8.847
_cell_angle_alpha 81.06
_cell_angle_beta 81.06
_cell_angle_gamma 60.00
loop_
_atom_site_label
_atom_site_fract_x
_atom_site_fract_y
_atom_site_fract_z
Au1 0.000 0.000 0.000
Rh1 0.245 0.245 0.266
Rh2 0.755 0.755 0.734
Zn1 0.500 0.500 0.500
# Density of states at the Fermi level   4.8 states/eV/cell
# Total magnetization   0.00 μB/cell
# E_form   -0.06 eV/atom
# Mass density   13.640 Mg/m³

---

[6]
# YMgCuSi2 (meta-GGA SCAN, PBEsol geometry)
data_YMgCuSi2
_space_group_name_H-M_alt 'P 1'
_space_group_IT_number 1
_space_group_name_Hall 'P 1'
_cell_length_a 4.491
_cell_length_b 4.491
_cell_length_c 5.034
_cell_angle_alpha 90.00
_cell_angle_beta 90.00
_cell_angle_gamma 90.00
loop_
_atom_site_label
_atom_site_fract_x
_atom_site_fract_y
_atom_site_fract_z
Y1 0.000 0.000 0.500
Si1 0.000 0.500 0.000
Si2 0.500 0.000 0.000
Mg1 0.500 0.500 0.500
Cu1 0.000 0.000 0.000
# Density of states at the Fermi level   2.5 states/eV/cell
# Total magnetization   0.00 μB/cell
# Calculated total energy   -13.353 eV/atom
# Mass density   3.809 Mg/m³

---

[7]
# Be2Mo2Os (meta-GGA SCAN, PBEsol geometry)
data_Be2Mo2Os
_space_group_name_H-M_alt 'P 1'
_space_group_IT_number 1
_space_group_name_Hall 'P 1'
_cell_length_a 3.503
_cell_length_b 3.503
_cell_length_c 5.684
_cell_angle_alpha 107.95
_cell_angle_beta 107.95
_cell_angle_gamma 90.00
loop_
_atom_site_label
_atom_site_fract_x
_atom_site_fract_y
_atom_site_fract_z
Be1 0.410 0.410 0.820
Be2 0.590 0.590 0.180
Mo1 0.250 0.750 0.500
Mo2 0.750 0.250 0.500
Os1 0.000 0.000 0.000
# Density of states at the Fermi level   2.7 states/eV/cell
# Total magnetization   0.64 μB/cell
# E_form   0.45 eV/atom
# Mass density   10.584 Mg/m³

---

[8]
# Li3FeP2O8 (meta-GGA SCAN, PBEsol geometry)
data_Li3FeP2O8
_space_group_name_H-M_alt 'P 1'
_space_group_IT_number 1
_space_group_name_Hall 'P 1'
_cell_length_a 5.227
_cell_length_b 7.021
_cell_length_c 8.406
_cell_angle_alpha 92.42
_cell_angle_beta 90.00
_cell_angle_gamma 90.00
loop_
_atom_site_label
_atom_site_fract_x
_atom_site_fract_y
_atom_site_fract_z
Li1 0.750 0.868 0.063
Li2 0.250 0.132 0.937
Li3 0.250 0.058 0.244
Li4 0.750 0.942 0.756
Li5 0.750 0.186 0.350
Li6 0.250 0.814 0.650
Fe1 0.250 0.457 0.249
Fe2 0.750 0.543 0.751
P1 0.750 0.270 0.053
P2 0.250 0.730 0.947
P3 0.750 0.727 0.390
P4 0.250 0.273 0.610
O1 0.750 0.457 0.967
O2 0.250 0.543 0.033
O3 0.250 0.904 0.062
O4 0.750 0.096 0.938
O5 0.750 0.914 0.301
O6 0.250 0.086 0.699
O7 0.250 0.232 0.427
O8 0.750 0.768 0.573
O9 0.513 0.255 0.164
O10 0.987 0.255 0.164
O11 0.013 0.745 0.836
O12 0.487 0.745 0.836
O13 0.509 0.610 0.346
O14 0.991 0.610 0.346
O15 0.009 0.390 0.654
O16 0.491 0.390 0.654
# Density of states at the Fermi level   0.0 states/eV/cell
# Total magnetization   9.96 μB/cell
# Calculated total energy   -9.215 eV/atom
# Mass density   2.873 Mg/m³